1.
Compound: YHo2Be
Source: the Alexandria database
Functional: GGA-PBE
Structure: relaxed

```
YHo2Be
1.0
3.4631 0.0000 0.0000
0.0000 3.4631 0.0000
0.0000 0.0000 8.5525
Y Be Ho
1 1 2
Direct
0.5000 0.5000 0.5000 Y
0.5000 0.5000 0.0000 Be
0.0000 0.0000 0.1913 Ho
0.0000 0.0000 0.8087 Ho
```

Values from the calculation:
D(E_F), states/eV per cell: 4.41
Spin magnetization, μB/cell: 0.0
Mass density, g/cm3: 6.9
Energy above the lowest structure with this stoichiometry, meV per atom: 0
Calculated total energy, eV/atom: -4.77


2.
Compound: Tl2ZnAu2
Source: the Alexandria database
Functional: GGA-PBE
Structure: relaxed

```
Tl2ZnAu2
1.0
6.9202 0.0000 0.0000
0.0000 6.9202 0.0000
0.0000 0.0000 4.9781
Tl Au Zn
4 4 2
Direct
0.8308 0.3308 0.5000 Tl
0.1692 0.6692 0.5000 Tl
0.3308 0.1692 0.5000 Tl
0.6692 0.8308 0.5000 Tl
0.1474 0.3525 0.0000 Au
0.6474 0.1474 0.0000 Au
0.8526 0.6474 0.0000 Au
0.3525 0.8526 0.0000 Au
0.0000 0.0000 0.0000 Zn
0.5000 0.5000 0.0000 Zn
```

Values from the calculation:
D(E_F), states/eV per cell: 3.55
Spin magnetization, μB/cell: 0.0
Mass density, g/cm3: 12.1
Energy above the lowest structure with this stoichiometry, meV per atom: 40
Calculated total energy, eV/atom: -2.51


3.
Compound: Cs2Ga2PbBr6
Source: the Alexandria database
Functional: GGA-PBE
Structure: relaxed

```
Cs2Ga2PbBr6
1.0
-2.2858 -7.6822 -1.9843
3.4883 1.5013 7.3488
-8.6820 2.7200 -0.5290
Br Ga Cs Pb
6 2 2 1
Direct
0.6900 0.8875 0.2162 Br
0.3100 0.1125 0.7838 Br
0.1975 0.8875 0.2162 Br
0.2715 0.5430 0.4223 Br
0.8025 0.1125 0.7838 Br
0.7285 0.4570 0.5777 Br
0.9408 0.8816 0.8242 Ga
0.0592 0.1184 0.1758 Ga
0.7159 0.4317 0.1765 Cs
0.2841 0.5683 0.8235 Cs
0.5000 0.0000 0.5000 Pb
```

Values from the calculation:
D(E_F), states/eV per cell: 0.00
Formation energy from raw total energies, eV per atom: -1.081
Spin magnetization, μB/cell: 0.0
Mass density, g/cm3: 3.8
Calculated total energy, eV/atom: -3.04


4.
Compound: PuAl4Ag4
Source: the Alexandria database
Functional: GGA-PBE
Structure: relaxed

```
PuAl4Ag4
1.0
6.2126 0.0000 0.0000
0.0000 6.2126 0.0000
0.0000 0.0000 9.0790
Ag Al Pu
8 8 2
Direct
0.0000 0.2761 0.4084 Ag
0.2761 0.0000 0.5916 Ag
0.5000 0.7761 0.0916 Ag
0.7761 0.5000 0.9084 Ag
0.2239 0.5000 0.9084 Ag
0.0000 0.7239 0.4084 Ag
0.7239 0.0000 0.5916 Ag
0.5000 0.2239 0.0916 Ag
0.0000 0.7186 0.7008 Al
0.5000 0.2186 0.7992 Al
0.2186 0.5000 0.2008 Al
0.0000 0.2814 0.7008 Al
0.2814 0.0000 0.2992 Al
0.5000 0.7814 0.7992 Al
0.7814 0.5000 0.2008 Al
0.7186 0.0000 0.2992 Al
0.5000 0.5000 0.5000 Pu
0.0000 0.0000 0.0000 Pu
```

Values from the calculation:
D(E_F), states/eV per cell: 34.99
Spin magnetization, μB/cell: 12.3
Mass density, g/cm3: 7.4
Calculated total energy, eV/atom: -4.55


5.
Compound: NbTe2S
Source: the Alexandria database
Functional: GGA-PBE
Structure: relaxed

```
NbTe2S
1.0
-4.5173 -1.1359 8.7949
-1.7583 -2.9129 9.3525
-1.7304 0.3864 9.7930
S Te Nb
1 2 1
Direct
0.5000 0.5000 0.5000 S
0.0944 0.0944 0.0944 Te
0.9056 0.9056 0.9056 Te
0.0000 0.0000 0.0000 Nb
```

Values from the calculation:
D(E_F), states/eV per cell: 4.78
Formation energy from raw total energies, eV per atom: 0.740
Spin magnetization, μB/cell: 0.0
Mass density, g/cm3: 6.7
Calculated total energy, eV/atom: -4.38


6.
Compound: LiMn3Pt12
Source: the Alexandria database
Functional: GGA-PBE
Structure: relaxed

```
LiMn3Pt12
1.0
3.9138 0.0000 0.0000
0.0000 3.9138 0.0000
0.0000 0.0000 15.6888
Pt Mn Li
12 3 1
Direct
0.5000 0.5000 0.2483 Pt
0.0000 0.5000 0.6260 Pt
0.0000 0.5000 0.8770 Pt
0.5000 0.0000 0.8770 Pt
0.5000 0.5000 0.0000 Pt
0.5000 0.5000 0.5000 Pt
0.0000 0.5000 0.3740 Pt
0.5000 0.5000 0.7517 Pt
0.5000 0.0000 0.6260 Pt
0.0000 0.5000 0.1230 Pt
0.5000 0.0000 0.1230 Pt
0.5000 0.0000 0.3740 Pt
0.0000 0.0000 0.2473 Mn
0.0000 0.0000 0.7527 Mn
0.0000 0.0000 0.5000 Mn
0.0000 0.0000 0.0000 Li
```

Values from the calculation:
D(E_F), states/eV per cell: 14.32
Spin magnetization, μB/cell: 12.4
Mass density, g/cm3: 17.4
Calculated total energy, eV/atom: -6.74